Computed, not measured: crystalline Zr2TcRu2 at its relaxed geometry at the PBE-GGA level of DFT.

- Calculated formation energy: -0.146 eV per atom
- Theoretical density: 8.8 g cm⁻³

Lattice parameters (Å, degrees): 6.529 6.529 4.268 90.00 90.00 90.00
Element x y z (fractional)
Zr1 0.179 0.679 0.500
Ru1 0.361 0.861 0.000
Ru2 0.139 0.361 0.000
Zr2 0.821 0.321 0.500
Zr3 0.321 0.179 0.500
Tc1 0.000 0.000 0.000
Tc2 0.500 0.500 0.000
Ru3 0.861 0.639 0.000
Zr4 0.679 0.821 0.500
Ru4 0.639 0.139 0.000

***

Computed, not measured: crystalline LiTc2Br at its relaxed geometry at the PBE-GGA level of DFT.

- Formation energy without anion corrections: 0.420 eV per atom
- E above lowest polymorph: 8.85 kcal/mol of atoms
- Theoretical density: 6.7 g cm⁻³

Lattice parameters (Å, degrees): 5.641 3.562 3.502 91.23 90.00 90.00
Element x y z (fractional)
Br1 0.500 0.250 0.250
Li1 0.500 0.750 0.750
Tc1 0.000 0.988 0.986
Tc2 0.000 0.512 0.514

***

Computed, not measured: crystalline PuReC2 at its relaxed geometry at the PBE-GGA level of DFT.

- Calculated formation energy: 0.121 eV per atom
- E above lowest polymorph: 0.36 kcal/mol of atoms
- Theoretical density: 15.3 g cm⁻³

Lattice parameters (Å, degrees): 3.047 5.732 5.644 90.00 90.00 90.00
Each line ends with the local moment (μB).
Element x y z (fractional)
C1 0.500 0.286 0.230  -0.07
C2 0.000 0.714 0.730  -0.07
Re1 0.000 0.417 0.000  -0.04
Re2 0.500 0.583 0.500  -0.04
C3 0.500 0.286 0.770  -0.07
Pu1 0.000 0.098 0.500  4.52
C4 0.000 0.714 0.270  -0.07
Pu2 0.500 0.902 0.000  4.52

***

Computed, not measured: crystalline POs2W at its relaxed geometry at the PBE-GGA level of DFT.

- Calculated formation energy: 0.418 eV per atom
- Theoretical density: 17.1 g cm⁻³

Lattice parameters (Å, degrees): 4.557 4.557 2.870 90.00 90.00 103.41
Element x y z (fractional)
Os1 0.000 0.500 0.000
Os2 0.500 0.000 0.000
P1 0.000 0.000 0.500
W1 0.500 0.500 0.500

***

Computed, not measured: crystalline AlSb2Pb at its relaxed geometry at the PBE-GGA level of DFT.

- Formation energy without anion corrections: 0.156 eV per atom
- E above lowest polymorph: 2.58 kcal/mol of atoms
- Theoretical density: 7.4 g cm⁻³

Lattice parameters (Å, degrees): 3.473 3.473 9.263 90.00 90.00 107.23
Element x y z (fractional)
Sb1 0.000 0.000 0.039
Pb1 0.500 0.500 0.750
Sb2 0.000 0.000 0.461
Al1 0.500 0.500 0.250

***

Computed, not measured: crystalline Zn2HgO2 at its relaxed geometry at the PBE-GGA level of DFT.

- Formation energy without anion corrections: -0.274 eV per atom
- E above lowest polymorph: 13.28 kcal/mol of atoms
- Theoretical density: 9.0 g cm⁻³

Lattice parameters (Å, degrees): 6.842 6.842 2.880 90.00 90.00 90.00
Element x y z (fractional)
O1 0.368 0.132 0.500
Zn1 0.375 0.875 0.000
O2 0.132 0.632 0.500
O3 0.868 0.368 0.500
O4 0.632 0.868 0.500
Zn2 0.875 0.625 0.000
Hg1 0.000 0.000 0.000
Hg2 0.500 0.500 0.000
Zn3 0.625 0.125 0.000
Zn4 0.125 0.375 0.000

***

Computed, not measured: crystalline RbSb4Pb at its relaxed geometry at the PBE-GGA level of DFT.

- Formation energy without anion corrections: 0.034 eV per atom
- E above lowest polymorph: 1.64 kcal/mol of atoms
- Theoretical density: 6.6 g cm⁻³

Lattice parameters (Å, degrees): 6.510 6.510 6.510 60.00 60.00 60.00
Element x y z (fractional)
Sb1 0.630 0.110 0.630
Sb2 0.630 0.630 0.110
Rb1 0.250 0.250 0.250
Sb3 0.630 0.630 0.630
Sb4 0.110 0.630 0.630
Pb1 0.000 0.000 0.000

***

Computed, not measured: crystalline AlAg2Br at its relaxed geometry at the PBE-GGA level of DFT.

- Formation energy without anion corrections: 0.000 eV per atom
- E above lowest polymorph: 0.41 kcal/mol of atoms
- Theoretical density: 5.5 g cm⁻³

Lattice parameters (Å, degrees): 6.847 6.847 4.382 86.43 86.43 28.22
Element x y z (fractional)
Br1 0.826 0.826 0.542
Al1 0.497 0.497 0.499
Ag1 0.021 0.021 0.994
Ag2 0.156 0.156 0.465

***

Computed, not measured: crystalline InSn3P at its relaxed geometry at the PBE-GGA level of DFT.

- Calculated formation energy: 0.360 eV per atom
- E above lowest polymorph: 0.00 kcal/mol of atoms
- Theoretical density: 5.6 g cm⁻³

Lattice parameters (Å, degrees): 5.290 5.290 5.290 90.00 90.00 90.00
Element x y z (fractional)
Sn1 0.500 0.000 0.000
P1 0.000 0.000 0.000
Sn2 0.000 0.000 0.500
Sn3 0.000 0.500 0.000
In1 0.500 0.500 0.500

***

Computed, not measured: crystalline K2TcPdO4 at its relaxed geometry at the PBE-GGA level of DFT.

- Formation energy without anion corrections: -1.186 eV per atom
- Theoretical density: 4.1 g cm⁻³

Lattice parameters (Å, degrees): 5.683 5.683 5.683 103.72 112.42 112.42
Each line ends with the local moment (μB).
Element x y z (fractional)
O1 0.949 0.491 0.157  0.05
K1 0.000 0.000 0.000  0.00
O2 0.666 0.458 0.509  0.05
Pd1 0.500 0.250 0.750  -0.14
O3 0.051 0.208 0.542  0.05
Tc1 0.000 0.500 0.500  0.78
O4 0.334 0.843 0.792  0.05
K2 0.500 0.750 0.250  0.00

***

Computed, not measured: crystalline LaOsCl at its relaxed geometry at the PBE-GGA level of DFT.

- Formation energy without anion corrections: 0.038 eV per atom
- E above lowest polymorph: 27.77 kcal/mol of atoms
- Theoretical density: 8.1 g cm⁻³

Lattice parameters (Å, degrees): 7.414 7.359 3.276 78.13 76.25 25.62
Each line ends with the local moment (μB).
Element x y z (fractional)
Os1 0.694 0.694 0.306  0.75
La1 0.333 0.333 0.667  -0.02
Cl1 0.973 0.973 0.027  0.00

***

Computed, not measured: crystalline ZrInW2 at its relaxed geometry at the PBE-GGA level of DFT.

- Calculated formation energy: 0.211 eV per atom
- Theoretical density: 12.5 g cm⁻³

Lattice parameters (Å, degrees): 5.511 5.511 5.511 143.52 129.34 64.02
Element x y z (fractional)
W1 0.021 0.021 0.000
In1 0.761 0.261 0.500
W2 0.229 0.729 0.500
Zr1 0.488 0.488 0.000

***

Computed, not measured: crystalline CaPm2Ru at its relaxed geometry at the PBE-GGA level of DFT.

- Calculated formation energy: 0.058 eV per atom
- E above lowest polymorph: 4.53 kcal/mol of atoms
- Theoretical density: 5.0 g cm⁻³

Lattice parameters (Å, degrees): 3.935 3.935 10.951 79.65 79.65 60.00
Element x y z (fractional)
Ru1 0.500 0.500 0.500
Pm1 0.117 0.117 0.650
Pm2 0.883 0.883 0.350
Ca1 0.000 0.000 0.000

***

| no. | uncorrected energy (eV per atom) | total magnetic moment (μB per atom) |
| --- | --- | --- |
| 1 | -9.3489 | 0.000 |
| 2 | -5.6601 | 0.000 |
| 3 | -11.1859 | 1.105 |
| 4 | -9.7878 | 0.000 |
| 5 | -3.7678 | 0.000 |
| 6 | -2.8271 | 0.000 |
| 7 | -3.4932 | 0.000 |
| 8 | -2.7798 | 0.000 |
| 9 | -3.6710 | 0.000 |
| 10 | -5.8845 | 0.121 |
| 11 | -5.9631 | 0.257 |
| 12 | -9.0868 | 0.000 |
| 13 | -5.1371 | 0.000 |